No. 1
{
  "formula": "Ac2Zn3InAg4",
  "functional": "PBE-GGA",
  "state": "relaxed",
  "vol_a3_per_cell": 233,
  "spacegroup": "No. 115",
  "delta_e_f_ev_per_atom": -0.2607,
  "magnetic_moment_mub_per_fu": 0.00,
  "lattice": [[4.416, 0.000, 0.000], [0.000, 4.416, 0.000], [0.000, 0.000, 11.960]],
  "species": ["Ac", "Ac", "Zn", "Zn", "Zn", "In", "Ag", "Ag", "Ag", "Ag"],
  "frac_coords": [[0.000, 0.500, 0.241], [0.500, 0.000, 0.759], [0.000, 0.500, 0.871], [0.500, 0.000, 0.129], [0.500, 0.500, 0.500], [0.000, 0.000, 0.500], [0.000, 0.000, 0.000], [0.000, 0.500, 0.648], [0.500, 0.000, 0.352], [0.500, 0.500, 0.000]]
}

***

No. 2
{
  "formula": "Ac2ZnIn3Ag4",
  "functional": "PBE-GGA",
  "state": "relaxed",
  "vol_a3_per_cell": 253,
  "spacegroup": "No. 115",
  "delta_e_f_ev_per_atom": -0.2805,
  "magnetic_moment_mub_per_fu": 0.00,
  "lattice": [[4.744, 0.000, 0.000], [0.000, 4.744, 0.000], [0.000, 0.000, 11.229]],
  "species": ["Ac", "Ac", "Zn", "In", "In", "In", "Ag", "Ag", "Ag", "Ag"],
  "frac_coords": [[0.000, 0.500, 0.248], [0.500, 0.000, 0.752], [0.500, 0.500, 0.000], [0.000, 0.000, 0.000], [0.000, 0.500, 0.633], [0.500, 0.000, 0.367], [0.000, 0.000, 0.500], [0.000, 0.500, 0.875], [0.500, 0.000, 0.125], [0.500, 0.500, 0.500]]
}

***

No. 3
{
  "formula": "Ac3ZnIn2Ag6",
  "functional": "PBE-GGA",
  "state": "relaxed",
  "vol_a3_per_cell": 316,
  "spacegroup": "No. 164",
  "delta_e_f_ev_per_atom": -0.1640,
  "magnetic_moment_mub_per_fu": 0.00,
  "lattice": [[6.295, 0.000, 0.000], [-3.147, 5.451, 0.000], [0.000, 0.000, 9.219]],
  "species": ["Ac", "Ac", "Ac", "Zn", "In", "In", "Ag", "Ag", "Ag", "Ag", "Ag", "Ag"],
  "frac_coords": [[0.000, 0.000, 0.000], [0.333, 0.667, 0.620], [0.667, 0.333, 0.380], [0.000, 0.000, 0.500], [0.333, 0.667, 0.020], [0.667, 0.333, 0.980], [0.177, 0.353, 0.288], [0.177, 0.823, 0.288], [0.353, 0.177, 0.712], [0.647, 0.823, 0.288], [0.823, 0.177, 0.712], [0.823, 0.647, 0.712]]
}

***

No. 4
{
  "formula": "Ac8Ag2Ir3",
  "functional": "PBE-GGA",
  "state": "relaxed",
  "vol_a3_per_cell": 1047,
  "spacegroup": "No. 186",
  "delta_e_f_ev_per_atom": -0.3919,
  "magnetic_moment_mub_per_fu": 0.00,
  "lattice": [[8.799, 0.000, 0.000], [-4.400, 7.620, 0.000], [0.000, 0.000, 15.619]],
  "species": ["Ac", "Ac", "Ac", "Ac", "Ac", "Ac", "Ac", "Ac", "Ac", "Ac", "Ac", "Ac", "Ac", "Ac", "Ac", "Ac", "Ag", "Ag", "Ag", "Ag", "Ir", "Ir", "Ir", "Ir", "Ir", "Ir"],
  "frac_coords": [[0.000, 0.000, 0.000], [0.000, 0.000, 0.500], [0.021, 0.510, 0.001], [0.160, 0.321, 0.290], [0.160, 0.840, 0.290], [0.321, 0.160, 0.790], [0.333, 0.667, 0.800], [0.490, 0.510, 0.001], [0.490, 0.979, 0.001], [0.510, 0.021, 0.501], [0.510, 0.490, 0.501], [0.667, 0.333, 0.300], [0.679, 0.840, 0.290], [0.840, 0.160, 0.790], [0.840, 0.679, 0.790], [0.979, 0.490, 0.501], [0.333, 0.667, 0.153], [0.333, 0.667, 0.603], [0.667, 0.333, 0.103], [0.667, 0.333, 0.653], [0.164, 0.328, 0.896], [0.164, 0.836, 0.896], [0.328, 0.164, 0.396], [0.672, 0.836, 0.896], [0.836, 0.164, 0.396], [0.836, 0.672, 0.396]]
}

***

No. 5
{
  "formula": "Ac3AgIr",
  "functional": "PBE-GGA",
  "state": "relaxed",
  "e_above_lowest_polymorph_mev_per_atom": 152,
  "vol_a3_per_cell": 198,
  "spacegroup": "No. 221",
  "delta_e_f_ev_per_atom": -0.2333,
  "magnetic_moment_mub_per_fu": 0.00,
  "lattice": [[5.833, 0.000, 0.000], [0.000, 5.833, 0.000], [0.000, 0.000, 5.833]],
  "species": ["Ac", "Ac", "Ac", "Ag", "Ir"],
  "frac_coords": [[0.000, 0.000, 0.500], [0.000, 0.500, 0.000], [0.500, 0.000, 0.000], [0.500, 0.500, 0.500], [0.000, 0.000, 0.000]]
}

***

No. 6
{
  "formula": "AcAgIr",
  "functional": "PBE-GGA",
  "state": "relaxed",
  "e_above_lowest_polymorph_mev_per_atom": 349,
  "vol_a3_per_cell": 142,
  "spacegroup": "No. 107",
  "delta_e_f_ev_per_atom": -0.0111,
  "magnetic_moment_mub_per_fu": 0.00,
  "lattice": [[3.783, 0.000, 0.000], [0.000, 3.783, 0.000], [0.000, 0.000, 9.955]],
  "species": ["Ac", "Ac", "Ag", "Ag", "Ir", "Ir"],
  "frac_coords": [[0.000, 0.000, 0.000], [0.500, 0.500, 0.500], [0.000, 0.000, 0.699], [0.500, 0.500, 0.199], [0.000, 0.000, 0.332], [0.500, 0.500, 0.832]]
}

***

No. 7
{
  "formula": "AcAgIr",
  "functional": "PBE-GGA",
  "state": "relaxed",
  "e_above_lowest_polymorph_mev_per_atom": 131,
  "vol_a3_per_cell": 168,
  "spacegroup": "No. 69",
  "delta_e_f_ev_per_atom": -0.2298,
  "magnetic_moment_mub_per_fu": 0.00,
  "lattice": [[0.000, 4.276, 8.087], [2.434, 0.000, 8.087], [2.434, 4.276, 0.000]],
  "species": ["Ac", "Ac", "Ag", "Ag", "Ir", "Ir"],
  "frac_coords": [[0.134, 0.134, 0.866], [0.866, 0.866, 0.134], [0.335, 0.665, 0.335], [0.665, 0.335, 0.665], [0.250, 0.250, 0.250], [0.750, 0.750, 0.750]]
}

***

No. 8
{
  "formula": "Ac4AgIr",
  "functional": "PBE-GGA",
  "state": "relaxed",
  "e_above_lowest_polymorph_mev_per_atom": 28,
  "vol_a3_per_cell": 464,
  "spacegroup": "No. 15",
  "delta_e_f_ev_per_atom": -0.3187,
  "magnetic_moment_mub_per_fu": 0.00,
  "lattice": [[4.859, -8.025, 0.000], [4.859, 8.025, 0.000], [-4.458, 0.000, 5.947]],
  "species": ["Ac", "Ac", "Ac", "Ac", "Ac", "Ac", "Ac", "Ac", "Ag", "Ag", "Ir", "Ir"],
  "frac_coords": [[0.060, 0.646, 0.861], [0.199, 0.282, 0.737], [0.282, 0.199, 0.237], [0.354, 0.940, 0.639], [0.646, 0.060, 0.361], [0.718, 0.801, 0.763], [0.801, 0.718, 0.263], [0.940, 0.354, 0.139], [0.379, 0.621, 0.250], [0.621, 0.379, 0.750], [0.076, 0.924, 0.750], [0.924, 0.076, 0.250]]
}

***

No. 9
{
  "formula": "Ac8AgIr6",
  "functional": "PBE-GGA",
  "state": "relaxed",
  "vol_a3_per_cell": 489,
  "spacegroup": "No. 147",
  "delta_e_f_ev_per_atom": -0.4925,
  "magnetic_moment_mub_per_fu": 0.00,
  "lattice": [[11.119, 0.000, 0.000], [-5.559, 9.629, 0.000], [0.000, 0.000, 4.568]],
  "species": ["Ac", "Ac", "Ac", "Ac", "Ac", "Ac", "Ac", "Ac", "Ag", "Ir", "Ir", "Ir", "Ir", "Ir", "Ir"],
  "frac_coords": [[0.027, 0.346, 0.248], [0.319, 0.973, 0.248], [0.333, 0.667, 0.751], [0.346, 0.319, 0.752], [0.654, 0.681, 0.248], [0.667, 0.333, 0.249], [0.681, 0.027, 0.752], [0.973, 0.654, 0.752], [0.000, 0.000, 0.000], [0.155, 0.667, 0.251], [0.333, 0.489, 0.251], [0.489, 0.155, 0.749], [0.511, 0.845, 0.251], [0.667, 0.511, 0.749], [0.845, 0.333, 0.749]]
}

***

No. 10
{
  "formula": "Ac2AgIr2",
  "functional": "PBE-GGA",
  "state": "relaxed",
  "vol_a3_per_cell": 250,
  "spacegroup": "No. 71",
  "delta_e_f_ev_per_atom": -0.4702,
  "magnetic_moment_mub_per_fu": 0.00,
  "lattice": [[4.607, 0.000, 0.000], [0.000, 6.161, 0.000], [0.000, 0.000, 8.806]],
  "species": ["Ac", "Ac", "Ac", "Ac", "Ag", "Ag", "Ir", "Ir", "Ir", "Ir"],
  "frac_coords": [[0.000, 0.000, 0.208], [0.000, 0.000, 0.792], [0.500, 0.500, 0.292], [0.500, 0.500, 0.708], [0.000, 0.500, 0.000], [0.500, 0.000, 0.500], [0.000, 0.285, 0.500], [0.000, 0.715, 0.500], [0.500, 0.215, 0.000], [0.500, 0.785, 0.000]]
}

***

No. 11
{
  "formula": "Ac4AgIr2",
  "functional": "PBE-GGA",
  "state": "relaxed",
  "e_above_lowest_polymorph_mev_per_atom": 0,
  "vol_a3_per_cell": 246,
  "spacegroup": "No. 166",
  "delta_e_f_ev_per_atom": -0.5378,
  "magnetic_moment_mub_per_fu": 0.00,
  "lattice": [[2.203, 1.272, 14.627], [-2.203, 1.272, 14.627], [0.000, -2.544, 14.627]],
  "species": ["Ac", "Ac", "Ac", "Ac", "Ag", "Ir", "Ir"],
  "frac_coords": [[0.123, 0.123, 0.123], [0.282, 0.282, 0.282], [0.718, 0.718, 0.718], [0.877, 0.877, 0.877], [0.000, 0.000, 0.000], [0.422, 0.422, 0.422], [0.578, 0.578, 0.578]]
}

***

No. 12
{
  "formula": "Ac3AgIr",
  "functional": "PBE-GGA",
  "state": "relaxed",
  "e_above_lowest_polymorph_mev_per_atom": 0,
  "vol_a3_per_cell": 348,
  "spacegroup": "No. 12",
  "delta_e_f_ev_per_atom": -0.3855,
  "magnetic_moment_mub_per_fu": 0.00,
  "lattice": [[6.602, -3.002, 0.000], [6.602, 3.002, 0.000], [-3.479, 0.000, 8.786]],
  "species": ["Ac", "Ac", "Ac", "Ac", "Ac", "Ac", "Ag", "Ag", "Ir", "Ir"],
  "frac_coords": [[0.102, 0.102, 0.218], [0.171, 0.171, 0.638], [0.378, 0.378, 0.105], [0.622, 0.622, 0.895], [0.829, 0.829, 0.362], [0.898, 0.898, 0.782], [0.397, 0.397, 0.533], [0.603, 0.603, 0.467], [0.134, 0.134, 0.924], [0.866, 0.866, 0.076]]
}

***

No. 13
{
  "formula": "AcAgIr4",
  "functional": "PBE-GGA",
  "state": "relaxed",
  "vol_a3_per_cell": 113,
  "spacegroup": "No. 216",
  "delta_e_f_ev_per_atom": -0.0846,
  "magnetic_moment_mub_per_fu": 0.00,
  "lattice": [[0.000, 3.840, 3.840], [3.840, 0.000, 3.840], [3.840, 3.840, 0.000]],
  "species": ["Ac", "Ag", "Ir", "Ir", "Ir", "Ir"],
  "frac_coords": [[0.000, 0.000, 0.000], [0.750, 0.750, 0.750], [0.375, 0.375, 0.375], [0.375, 0.375, 0.874], [0.375, 0.874, 0.375], [0.874, 0.375, 0.375]]
}

***

No. 14
{
  "formula": "Ac4AgIr",
  "functional": "PBE-GGA",
  "state": "relaxed",
  "e_above_lowest_polymorph_mev_per_atom": 0,
  "vol_a3_per_cell": 818,
  "spacegroup": "No. 216",
  "delta_e_f_ev_per_atom": -0.3464,
  "magnetic_moment_mub_per_fu": 0.00,
  "lattice": [[0.000, 7.424, 7.424], [7.424, 0.000, 7.424], [7.424, 7.424, 0.000]],
  "species": ["Ac", "Ac", "Ac", "Ac", "Ac", "Ac", "Ac", "Ac", "Ac", "Ac", "Ac", "Ac", "Ac", "Ac", "Ac", "Ac", "Ag", "Ag", "Ag", "Ag", "Ir", "Ir", "Ir", "Ir"],
  "frac_coords": [[0.188, 0.188, 0.812], [0.188, 0.812, 0.188], [0.188, 0.812, 0.812], [0.402, 0.402, 0.402], [0.402, 0.402, 0.793], [0.402, 0.793, 0.402], [0.560, 0.560, 0.940], [0.560, 0.940, 0.560], [0.560, 0.940, 0.940], [0.793, 0.402, 0.402], [0.812, 0.188, 0.188], [0.812, 0.188, 0.812], [0.812, 0.812, 0.188], [0.940, 0.560, 0.560], [0.940, 0.560, 0.940], [0.940, 0.940, 0.560], [0.164, 0.164, 0.164], [0.164, 0.164, 0.507], [0.164, 0.507, 0.164], [0.507, 0.164, 0.164], [0.174, 0.609, 0.609], [0.609, 0.174, 0.609], [0.609, 0.609, 0.174], [0.609, 0.609, 0.609]]
}

***

No. 15
{
  "formula": "Ac6AgIr4",
  "functional": "PBE-GGA",
  "state": "relaxed",
  "vol_a3_per_cell": 697,
  "spacegroup": "No. 63",
  "delta_e_f_ev_per_atom": -0.5464,
  "magnetic_moment_mub_per_fu": 0.00,
  "lattice": [[2.189, -7.205, 0.000], [2.189, 7.205, 0.000], [0.000, 0.000, 22.096]],
  "species": ["Ac", "Ac", "Ac", "Ac", "Ac", "Ac", "Ac", "Ac", "Ac", "Ac", "Ac", "Ac", "Ag", "Ag", "Ir", "Ir", "Ir", "Ir", "Ir", "Ir", "Ir", "Ir"],
  "frac_coords": [[0.000, 0.000, 0.000], [0.000, 0.000, 0.500], [0.173, 0.827, 0.750], [0.268, 0.732, 0.081], [0.268, 0.732, 0.419], [0.466, 0.534, 0.655], [0.466, 0.534, 0.845], [0.534, 0.466, 0.155], [0.534, 0.466, 0.345], [0.732, 0.268, 0.581], [0.732, 0.268, 0.919], [0.827, 0.173, 0.250], [0.152, 0.848, 0.250], [0.848, 0.152, 0.750], [0.100, 0.900, 0.630], [0.100, 0.900, 0.870], [0.364, 0.636, 0.543], [0.364, 0.636, 0.957], [0.636, 0.364, 0.043], [0.636, 0.364, 0.457], [0.900, 0.100, 0.130], [0.900, 0.100, 0.370]]
}

***

No. 16
{
  "formula": "Ac4AgIr2",
  "functional": "PBE-GGA",
  "state": "relaxed",
  "e_above_lowest_polymorph_mev_per_atom": 77,
  "vol_a3_per_cell": 485,
  "spacegroup": "No. 43",
  "delta_e_f_ev_per_atom": -0.4607,
  "magnetic_moment_mub_per_fu": 0.00,
  "lattice": [[0.000, 6.911, 5.082], [6.909, 0.000, 5.082], [6.909, 6.911, 0.000]],
  "species": ["Ac", "Ac", "Ac", "Ac", "Ac", "Ac", "Ac", "Ac", "Ag", "Ag", "Ir", "Ir", "Ir", "Ir"],
  "frac_coords": [[0.188, 0.189, 0.002], [0.189, 0.188, 0.621], [0.248, 0.629, 0.062], [0.310, 0.690, 0.499], [0.629, 0.248, 0.061], [0.690, 0.310, 0.501], [0.749, 0.751, 0.560], [0.751, 0.749, 0.940], [0.095, 0.095, 0.405], [0.845, 0.845, 0.155], [0.469, 0.470, 0.780], [0.470, 0.469, 0.281], [0.470, 0.969, 0.781], [0.969, 0.470, 0.780]]
}

***

No. 17
{
  "formula": "Ac6Ag2Ir3",
  "functional": "PBE-GGA",
  "state": "relaxed",
  "vol_a3_per_cell": 384,
  "spacegroup": "No. 12",
  "delta_e_f_ev_per_atom": -0.5261,
  "magnetic_moment_mub_per_fu": 0.00,
  "lattice": [[3.816, -6.601, 0.000], [3.816, 6.601, 0.000], [-2.531, 0.000, 7.620]],
  "species": ["Ac", "Ac", "Ac", "Ac", "Ac", "Ac", "Ag", "Ag", "Ir", "Ir", "Ir"],
  "frac_coords": [[0.065, 0.403, 0.209], [0.259, 0.259, 0.791], [0.403, 0.065, 0.209], [0.597, 0.935, 0.791], [0.741, 0.741, 0.209], [0.935, 0.597, 0.791], [0.166, 0.834, 0.500], [0.834, 0.166, 0.500], [0.000, 0.000, 0.000], [0.334, 0.666, 0.000], [0.666, 0.334, 0.000]]
}

***

No. 18
{
  "formula": "Ac5AgIr2",
  "functional": "PBE-GGA",
  "state": "relaxed",
  "vol_a3_per_cell": 521,
  "spacegroup": "No. 140",
  "delta_e_f_ev_per_atom": -0.4754,
  "magnetic_moment_mub_per_fu": 0.00,
  "lattice": [[-4.193, 4.193, 7.406], [4.193, -4.193, 7.406], [4.193, 4.193, -7.406]],
  "species": ["Ac", "Ac", "Ac", "Ac", "Ac", "Ac", "Ac", "Ac", "Ac", "Ac", "Ag", "Ag", "Ir", "Ir", "Ir", "Ir"],
  "frac_coords": [[0.000, 0.000, 0.000], [0.029, 0.529, 0.820], [0.208, 0.029, 0.500], [0.292, 0.792, 0.820], [0.471, 0.292, 0.500], [0.500, 0.500, 0.000], [0.529, 0.708, 0.500], [0.708, 0.208, 0.180], [0.792, 0.971, 0.500], [0.971, 0.471, 0.180], [0.250, 0.250, 0.000], [0.750, 0.750, 0.000], [0.142, 0.358, 0.500], [0.358, 0.858, 0.217], [0.642, 0.142, 0.783], [0.858, 0.642, 0.500]]
}

***

No. 19
{
  "formula": "AcAgIr",
  "functional": "PBE-GGA",
  "state": "relaxed",
  "e_above_lowest_polymorph_mev_per_atom": 0,
  "vol_a3_per_cell": 310,
  "spacegroup": "No. 63",
  "delta_e_f_ev_per_atom": -0.3603,
  "magnetic_moment_mub_per_fu": 0.00,
  "lattice": [[4.168, 0.000, 0.000], [0.000, 17.436, 0.000], [0.000, 0.000, 4.271]],
  "species": ["Ac", "Ac", "Ac", "Ac", "Ag", "Ag", "Ag", "Ag", "Ir", "Ir", "Ir", "Ir"],
  "frac_coords": [[0.000, 0.103, 0.250], [0.000, 0.897, 0.750], [0.500, 0.397, 0.750], [0.500, 0.603, 0.250], [0.000, 0.295, 0.250], [0.000, 0.705, 0.750], [0.500, 0.205, 0.750], [0.500, 0.795, 0.250], [0.000, 0.460, 0.250], [0.000, 0.540, 0.750], [0.500, 0.040, 0.750], [0.500, 0.960, 0.250]]
}